# 1
DFT (PBE-GGA) results for a relaxed BaCoGe2P crystal.

Cell: 4.5589 4.5589 5.3196 Å, 90.00 90.00 90.00°
Space group P4/mmm (No. 123)
Inequivalent atoms, fractional coordinates:
Ba  0.0000  0.0000  0.0000 [1 per cell]
Co  0.5000  0.5000  0.5000 [1 per cell]
Ge  0.0000  0.5000  0.5000 [2 per cell]
P  0.5000  0.5000  0.0000 [1 per cell]

Summary:
- Formation enthalpy at 0 K: -80 meV/atom
- Density: 5.59 g/cm³
- Uncorrected energy: -4.81 eV per atom
- Calculated volume: 111 Å³ per cell


# 2
DFT (PBE-GGA) results for a relaxed BaCoGe2Pb crystal.

Cell: 5.2554 5.2554 4.8323 Å, 90.00 90.00 90.00°
Space group P4/mmm (No. 123)
Inequivalent atoms, fractional coordinates:
Ba  0.0000  0.0000  0.0000 [1 per cell]
Co  0.5000  0.5000  0.0000 [1 per cell]
Ge  0.0000  0.5000  0.5000 [2 per cell]
Pb  0.5000  0.5000  0.5000 [1 per cell]

Summary:
- Formation enthalpy at 0 K: 669 meV/atom
- Density: 6.83 g/cm³
- Uncorrected energy: -3.73 eV per atom
- Calculated volume: 133 Å³ per cell


# 3
DFT (PBE-GGA) results for a relaxed Rb2BaCoGe crystal.

Cell: 6.8997 6.8997 4.5979 Å, 90.00 90.00 90.00°
Space group P4/mmm (No. 123)
Inequivalent atoms, fractional coordinates:
Rb  0.0000  0.5000  0.0000 [2 per cell]
Ba  0.0000  0.0000  0.5000 [1 per cell]
Co  0.5000  0.5000  0.5000 [1 per cell]
Ge  0.5000  0.5000  0.0000 [1 per cell]

Summary:
- Formation enthalpy at 0 K: 493 meV/atom
- Density: 3.34 g/cm³
- Uncorrected energy: -2.62 eV per atom
- Calculated volume: 219 Å³ per cell


# 4
DFT (PBE-GGA) results for a relaxed BaCoGe2Rh crystal.

Cell: 4.1394 4.1394 12.1847 Å, 90.00 90.00 90.00°
Space group I-4m2 (No. 119)
Inequivalent atoms, fractional coordinates:
Ba  0.0000  0.0000  0.0000 [2 per cell]
Co  0.0000  0.5000  0.7500 [2 per cell]
Ge  0.0000  0.0000  0.3508 [4 per cell]
Rh  0.0000  0.5000  0.2500 [2 per cell]

Summary:
- Formation enthalpy at 0 K: -542 meV/atom
- Density: 7.07 g/cm³
- Uncorrected energy: -5.67 eV per atom
- Calculated volume: 209 Å³ per cell